Version one
# K6Rb (GGA-PBE, relaxed)
data_K6Rb
_chemical_formula_sum 'K12 Rb2'
_cell_length_a 11.1933
_cell_length_b 11.1933
_cell_length_c 11.1933
_cell_angle_alpha 90.00
_cell_angle_beta 90.00
_cell_angle_gamma 90.00
_symmetry_space_group_name_H-M 'I m -3 m'
_symmetry_Int_Tables_number 229
_symmetry_space_group_name_Hall '-I 4 2 3'
loop_
_atom_site_label
_atom_site_type_symbol
_atom_site_fract_x
_atom_site_fract_y
_atom_site_fract_z
K1 K 0.0000 0.2500 0.5000
Rb1 Rb 0.0000 0.0000 0.0000
# Magnetic moment: 0.0000 μB per atom
# Density: 0.76 g cm⁻³

=====

Version two
# K6Rb (GGA-PBE, relaxed)
data_K6Rb
_chemical_formula_sum 'K6 Rb1'
_cell_length_a 6.7845
_cell_length_b 6.7845
_cell_length_c 12.1664
_cell_angle_alpha 90.00
_cell_angle_beta 90.00
_cell_angle_gamma 90.00
_symmetry_space_group_name_H-M 'P 4/m m m'
_symmetry_Int_Tables_number 123
_symmetry_space_group_name_Hall '-P 4 2'
loop_
_atom_site_label
_atom_site_type_symbol
_atom_site_fract_x
_atom_site_fract_y
_atom_site_fract_z
K1 K 0.0000 0.0000 0.0000
K2 K 0.0000 0.5000 0.2262
K3 K 0.5000 0.5000 0.5000
Rb1 Rb 0.0000 0.0000 0.5000
# Magnetic moment: 0.0000 μB per atom
# Density: 0.95 g cm⁻³

=====

Stability summary: most stable version two, least stable version one.